Here is a relaxed structure of PaMnPbO6 from Alexandria via LeMat-Bulk. Energies are from GGA+U.

The density of states at the Fermi level is 4.78 states/eV/cell. For the mass density, the calculation gives 8.0 g/cm³. Its calculated volume is 122.3 Å³/f.u. The calculation puts the electronic total energy at -68.57 eV/cell. For the total magnetic moment, the calculation gives 4.00 μB/f.u.

a b c (Å): 5.388 5.388 4.865
angles (deg): 90.00 90.00 120.00
Fractional coordinates of all 9 atoms:
Pa (0.000, 0.000, 0.000)
Mn (0.667, 0.333, 0.500)
Pb (0.333, 0.667, 0.500)
O (0.343, 0.017, 0.739)
O (0.343, 0.325, 0.261)
O (0.675, 0.017, 0.261)
O (0.675, 0.657, 0.739)
O (0.983, 0.325, 0.739)
O (0.983, 0.657, 0.261)